# GGA-PBE MgAlGe, relaxed
# SG: R-3m
# ΔE_f: 2 meV/atom
# Fermi-level density of states: 0.404 states/eV per atom
data_MgAlGe
_chemical_formula_sum 'Mg2 Al2 Ge2'
_symmetry_space_group_name_H-M 'P 1'
_symmetry_Int_Tables_number 1
_symmetry_space_group_name_Hall 'P 1'
_cell_length_a 4.742
_cell_length_b 4.742
_cell_length_c 7.085
_cell_angle_alpha 70.45
_cell_angle_beta 70.45
_cell_angle_gamma 60.00
loop_
_atom_site_label
_atom_site_type_symbol
_atom_site_fract_x
_atom_site_fract_y
_atom_site_fract_z
Mg1 Mg 0.114 0.114 0.658
Mg2 Mg 0.886 0.886 0.342
Al1 Al 0.618 0.618 0.147
Al2 Al 0.382 0.382 0.853
Ge1 Ge 0.747 0.747 0.759
Ge2 Ge 0.253 0.253 0.241


# GGA-PBE Mg17Al11Ge, relaxed
# SG: Cm
# ΔE_f: -36 meV/atom
# Fermi-level density of states: 0.216 states/eV per atom
data_Mg17Al11Ge
_chemical_formula_sum 'Mg17 Al11 Ge1'
_symmetry_space_group_name_H-M 'P 1'
_symmetry_Int_Tables_number 1
_symmetry_space_group_name_Hall 'P 1'
_cell_length_a 9.124
_cell_length_b 9.124
_cell_length_c 9.117
_cell_angle_alpha 109.54
_cell_angle_beta 109.54
_cell_angle_gamma 109.52
loop_
_atom_site_label
_atom_site_type_symbol
_atom_site_fract_x
_atom_site_fract_y
_atom_site_fract_z
Mg1 Mg 0.001 0.001 0.345
Mg2 Mg 0.684 0.684 0.284
Mg3 Mg 0.658 0.658 0.660
Mg4 Mg 0.399 0.399 0.714
Mg5 Mg 0.998 0.998 0.000
Mg6 Mg 0.314 0.603 0.997
Mg7 Mg 0.399 0.715 0.399
Mg8 Mg 0.999 0.316 0.603
Mg9 Mg 0.998 0.345 0.998
Mg10 Mg 0.286 0.683 0.682
Mg11 Mg 0.602 0.000 0.316
Mg12 Mg 0.000 0.602 0.316
Mg13 Mg 0.683 0.286 0.682
Mg14 Mg 0.345 0.998 0.998
Mg15 Mg 0.316 0.999 0.603
Mg16 Mg 0.715 0.399 0.399
Mg17 Mg 0.603 0.314 0.997
Al1 Al 0.188 0.188 0.821
Al2 Al 0.634 0.814 0.001
Al3 Al 0.180 0.366 0.366
Al4 Al 0.815 0.001 0.635
Al5 Al 0.632 0.998 0.814
Al6 Al 0.818 0.185 0.184
Al7 Al 0.185 0.818 0.184
Al8 Al 0.998 0.632 0.814
Al9 Al 0.001 0.815 0.635
Al10 Al 0.366 0.180 0.366
Al11 Al 0.814 0.634 0.001
Ge1 Ge 0.369 0.369 0.182


# GGA-PBE MgAlGe3, relaxed
# SG: Pm-3m
# ΔE to the lowest computed polymorph: 0 meV/atom
# ΔE_f: 475 meV/atom
# Fermi-level density of states: 0.454 states/eV per atom
data_MgAlGe3
_chemical_formula_sum 'Mg1 Al1 Ge3'
_symmetry_space_group_name_H-M 'P 1'
_symmetry_Int_Tables_number 1
_symmetry_space_group_name_Hall 'P 1'
_cell_length_a 4.910
_cell_length_b 4.910
_cell_length_c 4.910
_cell_angle_alpha 90.00
_cell_angle_beta 90.00
_cell_angle_gamma 90.00
loop_
_atom_site_label
_atom_site_type_symbol
_atom_site_fract_x
_atom_site_fract_y
_atom_site_fract_z
Mg1 Mg 0.500 0.500 0.500
Ge1 Ge 0.000 0.500 0.000
Ge2 Ge 0.000 0.000 0.500
Ge3 Ge 0.500 0.000 0.000
Al1 Al 0.000 0.000 0.000


# GGA-PBE Mg3AlGe, relaxed
# SG: Pm-3m
# ΔE to the lowest computed polymorph: 0 meV/atom
# ΔE_f: 276 meV/atom
# Fermi-level density of states: 0.475 states/eV per atom
data_Mg3AlGe
_chemical_formula_sum 'Mg3 Al1 Ge1'
_symmetry_space_group_name_H-M 'P 1'
_symmetry_Int_Tables_number 1
_symmetry_space_group_name_Hall 'P 1'
_cell_length_a 5.042
_cell_length_b 5.042
_cell_length_c 5.042
_cell_angle_alpha 90.00
_cell_angle_beta 90.00
_cell_angle_gamma 90.00
loop_
_atom_site_label
_atom_site_type_symbol
_atom_site_fract_x
_atom_site_fract_y
_atom_site_fract_z
Mg1 Mg 0.000 0.500 0.000
Mg2 Mg 0.000 0.000 0.500
Mg3 Mg 0.500 0.000 0.000
Ge1 Ge 0.000 0.000 0.000
Al1 Al 0.500 0.500 0.500